# Tb2ThTl9 | Alexandria via LeMat-Bulk | GGA-PBE | relaxed
data_Tb2ThTl9
_cell_length_a 4.785
_cell_length_b 4.785
_cell_length_c 14.340
_cell_angle_alpha 90.00
_cell_angle_beta 90.00
_cell_angle_gamma 90.00
_symmetry_space_group_name_H-M 'P 4/m m m'
_symmetry_Int_Tables_number 123
_symmetry_space_group_name_Hall '-P 4 2'
loop_
_atom_site_label
_atom_site_type_symbol
_atom_site_fract_x
_atom_site_fract_y
_atom_site_fract_z
Tb1 Tb 0.000 0.000 0.166
Th1 Th 0.000 0.000 0.500
Tl1 Tl 0.000 0.500 0.000
Tl2 Tl 0.000 0.500 0.329
Tl3 Tl 0.500 0.500 0.164
Tl4 Tl 0.500 0.500 0.500
# Calculated formation energy (eV per atom): -0.217
# Spin magnetization (μB/atom): 0.00